CaScHg at its PBEsol-relaxed geometry. Source: Alexandria via LeMat-Bulk, functional meta-GGA SCAN. Values from VASP.

formation energy from the elements	0.135	eV per atom
distance to the lowest polymorph of the same formula	337	meV per atom

Geometry as Quantum ESPRESSO input:
```
&SYSTEM
  ibrav = 0, nat = 3, ntyp = 3
/
ATOMIC_SPECIES
Ca 40.08 Ca.upf
Sc 44.96 Sc.upf
Hg 200.59 Hg.upf
CELL_PARAMETERS angstrom
0.000 3.409 3.409
3.409 0.000 3.409
3.409 3.409 0.000
ATOMIC_POSITIONS angstrom
Ca 0.000 0.000 0.000
Sc 1.705 1.705 1.705
Hg 3.409 3.409 3.409
```

CuSn2HgF at its PBEsol-relaxed geometry. Source: Alexandria via LeMat-Bulk, functional meta-GGA SCAN. Values from VASP.

ΔE_f (raw)	57	meV/atom

Geometry as Quantum ESPRESSO input:
```
&SYSTEM
  ibrav = 0, nat = 5, ntyp = 4
/
ATOMIC_SPECIES
Cu 63.55 Cu.upf
Sn 118.71 Sn.upf
Hg 200.59 Hg.upf
F 19.00 F.upf
CELL_PARAMETERS angstrom
4.670 0.000 0.000
0.000 4.670 0.000
0.000 0.000 5.022
ATOMIC_POSITIONS angstrom
Cu 0.000 0.000 0.000
Sn 0.000 2.335 2.511
Sn 2.335 0.000 2.511
Hg 2.335 2.335 0.000
F 2.335 2.335 2.511
```

V3Au at its PBEsol-relaxed geometry. Source: Alexandria via LeMat-Bulk, functional meta-GGA SCAN. Values from VASP.

formation energy from the elements	-0.117	eV per atom
distance to the lowest polymorph of the same formula	110	meV per atom

Geometry as Quantum ESPRESSO input:
```
&SYSTEM
  ibrav = 0, nat = 4, ntyp = 2
/
ATOMIC_SPECIES
V 50.94 V.upf
Au 196.97 Au.upf
CELL_PARAMETERS angstrom
3.820 0.000 0.000
0.000 3.820 0.000
0.000 0.000 3.820
ATOMIC_POSITIONS angstrom
V 0.000 0.000 1.910
V 0.000 1.910 0.000
V 1.910 0.000 0.000
Au 1.910 1.910 1.910
```

Y2NiAs at its PBEsol-relaxed geometry. Source: Alexandria via LeMat-Bulk, functional meta-GGA SCAN. Values from VASP.

formation energy from the elements	-1.016	eV per atom

Geometry as Quantum ESPRESSO input:
```
&SYSTEM
  ibrav = 0, nat = 4, ntyp = 3
/
ATOMIC_SPECIES
Y 88.91 Y.upf
Ni 58.69 Ni.upf
As 74.92 As.upf
CELL_PARAMETERS angstrom
4.023 0.000 0.000
0.000 1.953 5.244
0.000 -1.953 5.244
ATOMIC_POSITIONS angstrom
Y 0.000 0.000 0.000
Y 2.011 0.000 2.952
Ni 0.000 0.000 7.546
As 2.011 0.000 5.974
```

Be3Te at its PBEsol-relaxed geometry. Source: Alexandria via LeMat-Bulk, functional meta-GGA SCAN. Values from VASP.

ΔE_f (raw)	728	meV/atom
distance to the lowest polymorph of the same formula	191	meV per atom

Geometry as Quantum ESPRESSO input:
```
&SYSTEM
  ibrav = 0, nat = 4, ntyp = 2
/
ATOMIC_SPECIES
Be 9.01 Be.upf
Te 127.60 Te.upf
CELL_PARAMETERS angstrom
-1.735 4.033 1.984
1.735 -4.033 1.984
1.735 4.033 -1.984
ATOMIC_POSITIONS angstrom
Be 0.000 0.000 0.000
Be 1.735 2.038 0.778
Be 0.000 1.995 2.763
Te 0.000 4.033 0.123
```

MnZn2Ir at its PBEsol-relaxed geometry. Source: Alexandria via LeMat-Bulk, functional meta-GGA SCAN. Values from VASP.

formation energy from the elements	-0.222	eV per atom

Geometry as Quantum ESPRESSO input:
```
&SYSTEM
  ibrav = 0, nat = 4, ntyp = 3
/
ATOMIC_SPECIES
Mn 54.94 Mn.upf
Zn 65.41 Zn.upf
Ir 192.22 Ir.upf
CELL_PARAMETERS angstrom
2.779 0.000 0.000
0.000 3.547 0.000
0.000 0.000 5.402
ATOMIC_POSITIONS angstrom
Mn 0.000 0.000 0.000
Zn 0.000 0.000 2.751
Zn 1.389 1.774 1.427
Ir 1.389 1.774 4.183
```

Li2HOsPt at its PBEsol-relaxed geometry. Source: Alexandria via LeMat-Bulk, functional meta-GGA SCAN. Values from VASP.

DFT total energy	-29.94	eV per atom

Geometry as Quantum ESPRESSO input:
```
&SYSTEM
  ibrav = 0, nat = 5, ntyp = 4
/
ATOMIC_SPECIES
Li 6.94 Li.upf
H 1.01 H.upf
Os 190.23 Os.upf
Pt 195.08 Pt.upf
CELL_PARAMETERS angstrom
3.794 0.000 0.000
0.000 3.794 0.000
0.000 0.000 3.758
ATOMIC_POSITIONS angstrom
Li 0.000 1.897 0.000
Li 1.897 0.000 0.000
H 0.000 0.000 0.000
Os 1.897 1.897 1.879
Pt 0.000 0.000 1.879
```

CsSc2SeN at its PBEsol-relaxed geometry. Source: Alexandria via LeMat-Bulk, functional meta-GGA SCAN. Values from VASP.

ΔE_f (raw)	1403	meV/atom

Geometry as Quantum ESPRESSO input:
```
&SYSTEM
  ibrav = 0, nat = 5, ntyp = 4
/
ATOMIC_SPECIES
Cs 132.91 Cs.upf
Sc 44.96 Sc.upf
Se 78.96 Se.upf
N 14.01 N.upf
CELL_PARAMETERS angstrom
5.291 0.000 0.000
0.000 5.291 0.000
0.000 0.000 4.256
ATOMIC_POSITIONS angstrom
Cs 0.000 0.000 0.000
Sc 0.000 2.645 0.000
Sc 2.645 0.000 0.000
Se 2.645 2.645 2.128
N 0.000 0.000 2.128
```

What did the eighth record say?
CsSc2SeN at its PBEsol-relaxed geometry. Source: Alexandria via LeMat-Bulk, functional meta-GGA SCAN. Values from VASP.

ΔE_f (raw)	1403	meV/atom

Geometry as Quantum ESPRESSO input:
```
&SYSTEM
  ibrav = 0, nat = 5, ntyp = 4
/
ATOMIC_SPECIES
Cs 132.91 Cs.upf
Sc 44.96 Sc.upf
Se 78.96 Se.upf
N 14.01 N.upf
CELL_PARAMETERS angstrom
5.291 0.000 0.000
0.000 5.291 0.000
0.000 0.000 4.256
ATOMIC_POSITIONS angstrom
Cs 0.000 0.000 0.000
Sc 0.000 2.645 0.000
Sc 2.645 0.000 0.000
Se 2.645 2.645 2.128
N 0.000 0.000 2.128
```